First-principles (SCAN) data for a crystal of CaPBrCl2 relaxed with PBEsol, as listed in the Alexandria database.

The space group is P4/mmm (No. 123) and the conventional cell measures 4.979, 4.979 and 9.321 Å, with angles of 90.00, 90.00 and 90.00 degrees. The inequivalent atoms are Ca at (0.000, 0.000, 0.000), P at (0.000, 0.000, 0.500), Br at (0.500, 0.500, 0.500) and Cl at (0.000, 0.500, 0.000).

As for the crystal system: tetragonal. As for the magnetic moment: 2.0 μB/f.u. The calculation puts the uncorrected formation energy at -0.58 eV per atom. The value obtained for the density of states at the Fermi level is 0.38 states/eV per atom. The density is 1.6 g/cm3.